(1)
A geometry-optimized LuTaCoIr structure, computed with PBE.

Geometry as extended XYZ:
```
16
Lattice="6.453 0.000 0.000 0.000 6.453 0.000 0.000 0.000 6.453" Properties=species:S:1:pos:R:3 pbc="T T T"
Lu 0.000 0.000 0.000
Lu 0.000 3.227 3.227
Lu 3.227 0.000 3.227
Lu 3.227 3.227 0.000
Ta 0.000 0.000 3.227
Ta 0.000 3.227 0.000
Ta 3.227 0.000 0.000
Ta 3.227 3.227 3.227
Co 1.613 1.613 4.840
Co 1.613 4.840 1.613
Co 4.840 1.613 1.613
Co 4.840 4.840 4.840
Ir 1.613 1.613 1.613
Ir 1.613 4.840 4.840
Ir 4.840 1.613 4.840
Ir 4.840 4.840 1.613
```

Computed properties:
Size of the total moment   0.33 μB/atom
E   -8.468 eV/atom
Crystal system   cubic
Space-group type   F-43m, No. 216

***

(2)
A geometry-optimized TbLuCoIr structure, computed with PBE.

Geometry as extended XYZ:
```
16
Lattice="6.728 0.000 0.000 0.000 6.728 0.000 0.000 0.000 6.728" Properties=species:S:1:pos:R:3 pbc="T T T"
Tb 0.000 0.000 0.000
Tb 0.000 3.364 3.364
Tb 3.364 0.000 3.364
Tb 3.364 3.364 0.000
Lu 0.000 0.000 3.364
Lu 0.000 3.364 0.000
Lu 3.364 0.000 0.000
Lu 3.364 3.364 3.364
Co 1.682 1.682 1.682
Co 1.682 5.046 5.046
Co 5.046 1.682 5.046
Co 5.046 5.046 1.682
Ir 1.682 1.682 5.046
Ir 1.682 5.046 1.682
Ir 5.046 1.682 1.682
Ir 5.046 5.046 5.046
```

Computed properties:
Size of the total moment   0.13 μB/atom
E   -6.835 eV/atom
Crystal system   cubic
Space-group type   F-43m, No. 216

***

Computed values of ΔE_f (unit: meV/atom) for the preceding records, in sequence: -383, -556.